A plane-wave DFT calculation with PBE was carried out for an optimized crystal structure of TbPrSnRh.

Cell: 5.2209 5.2209 5.2209 Å, 60.00 60.00 60.00°
Closest atoms and distances in Å follow each position.
Element x y z (fractional)
1 Pr 0.5000 0.5000 0.5000  4 Sn 3.20, 4 Rh 3.20
2 Rh 0.7500 0.7500 0.7500  4 Pr 3.20, 4 Tb 3.20
3 Tb 0.0000 0.0000 0.0000  4 Rh 3.20, 4 Sn 3.20
4 Sn 0.2500 0.2500 0.2500  4 Tb 3.20, 4 Pr 3.20

Output
E_tot (eV/atom): -5.77
Spin magnetization (μB per formula unit): 0.000
Calculated formation energy (eV per atom): -0.5751